(1)
Material: CaLaHg
Method: DFT, SCAN
State: single point on PBEsol structure

It has space group P3m1 (No. 156), with a = 5.2059 Å, b = 5.2059 Å, c = 3.8156 Å, α = 90.00°, β = 90.00° and γ = 120.00°. The asymmetric unit holds Ca at (0.0000, 0.0000, 0.0000), La at (0.3333, 0.6667, 0.5365) and Hg at (0.6667, 0.3333, 0.1731).

Its energy relative to the elements is -358 meV/atom. Its theoretical density is 7038 kg/m3.

(2)
Material: PrSi3N5
Method: DFT, SCAN
State: single point on PBEsol structure

It has space group P2_12_12_1 (No. 19), with a = 4.7805 Å, b = 7.8372 Å, c = 11.2034 Å, α = 90.00°, β = 90.00° and γ = 90.00°. The asymmetric unit holds Pr at (0.0068, 0.0627, 0.1698), Si at (0.0156, 0.2924, 0.5833), Si at (0.0177, 0.1609, 0.8381), Si at (0.0266, 0.4672, 0.0413), N at (0.0449, 0.3420, 0.9197), N at (0.1720, 0.3890, 0.1694), N at (0.1756, 0.2067, 0.7044), N at (0.1880, 0.9800, 0.9054) and N at (0.2098, 0.6480, 0.9869).

As for the raw formation energy: -34.5 kcal/mol of atoms. Its theoretical density is 4671 kg/m3.

(3)
Material: NaCd2In2
Method: DFT, SCAN
State: single point on PBEsol structure

It has space group I4/mmm (No. 139), with a = 4.3786 Å, b = 4.3786 Å, c = 13.2702 Å, α = 90.00°, β = 90.00° and γ = 90.00°. The asymmetric unit holds Na at (0.0000, 0.0000, 0.0000), Cd at (0.0000, 0.5000, 0.2500) and In at (0.0000, 0.0000, 0.3946).

Its energy relative to the elements is -101 meV/atom. Its theoretical density is 6232 kg/m3.

(4)
Material: LiYZn2As
Method: DFT, SCAN
State: single point on PBEsol structure

It has space group P4/mmm (No. 123), with a = 4.8235 Å, b = 4.8235 Å, c = 5.2967 Å, α = 90.00°, β = 90.00° and γ = 90.00°. The asymmetric unit holds Li at (0.0000, 0.0000, 0.0000), Y at (0.5000, 0.5000, 0.0000), Zn at (0.0000, 0.5000, 0.5000) and As at (0.5000, 0.5000, 0.5000).

Its energy relative to the elements is 59 meV/atom. Its theoretical density is 4064 kg/m3.

(5)
Material: MgZn4Cu2
Method: DFT, SCAN
State: single point on PBEsol structure

It has space group R-3m (No. 166, hexagonal axes), with a = 4.2277 Å, b = 4.2277 Å, c = 18.4921 Å, α = 90.00°, β = 90.00° and γ = 120.00°. The asymmetric unit holds Mg at (0.0000, 0.0000, 0.0000), Zn at (0.0000, 0.0000, 0.1437), Zn at (0.0000, 0.0000, 0.4190) and Cu at (0.0000, 0.0000, 0.2774).

Its energy relative to the elements is -90 meV/atom. Its theoretical density is 7188 kg/m3.

(6)
Material: PdRh2W2
Method: DFT, SCAN
State: single point on PBEsol structure

It has space group I4/mmm (No. 139), with a = 3.8467 Å, b = 3.8467 Å, c = 11.2375 Å, α = 90.00°, β = 90.00° and γ = 90.00°. The asymmetric unit holds Pd at (0.0000, 0.0000, 0.0000), Rh at (0.0000, 0.0000, 0.3952) and W at (0.0000, 0.5000, 0.2500).

Its energy relative to the elements is 395 meV/atom. Its theoretical density is 13580 kg/m3.

(7)
Material: Y2Mg
Method: DFT, SCAN
State: single point on PBEsol structure

It has space group Cmcm (No. 63), with a = 3.6629 Å, b = 16.9843 Å, c = 5.4066 Å, α = 90.00°, β = 90.00° and γ = 90.00°. The asymmetric unit holds Y at (0.0000, 0.0914, 0.2500), Y at (0.0000, 0.2269, 0.7500) and Mg at (0.0000, 0.4331, 0.2500).

Its energy relative to the elements is -82 meV/atom. Its theoretical density is 3991 kg/m3.

(8)
Material: BaZr2Al
Method: DFT, SCAN
State: single point on PBEsol structure

It has space group P4/mmm (No. 123), with a = 4.6719 Å, b = 4.6719 Å, c = 4.3849 Å, α = 90.00°, β = 90.00° and γ = 90.00°. The asymmetric unit holds Ba at (0.0000, 0.0000, 0.0000), Zr at (0.0000, 0.5000, 0.5000) and Al at (0.5000, 0.5000, 0.0000).

Its energy relative to the elements is 423 meV/atom. Its theoretical density is 6016 kg/m3.

(9)
Material: IrPdN2
Method: DFT, SCAN
State: single point on PBEsol structure

It has space group R-3m (No. 166, hexagonal axes), with a = 2.8862 Å, b = 2.8862 Å, c = 18.6535 Å, α = 90.00°, β = 90.00° and γ = 120.00°. The asymmetric unit holds Ir at (0.0000, 0.0000, 0.0000), Pd at (0.0000, 0.0000, 0.5000) and N at (0.0000, 0.0000, 0.1022).

As for the raw formation energy: 17.0 kcal/mol of atoms. Its theoretical density is 12092 kg/m3.

(10)
Material: ZrCd2AgS
Method: DFT, SCAN
State: single point on PBEsol structure

It has space group P4/mmm (No. 123), with a = 5.4838 Å, b = 5.4838 Å, c = 5.1053 Å, α = 90.00°, β = 90.00° and γ = 90.00°. The asymmetric unit holds Zr at (0.0000, 0.0000, 0.0000), Cd at (0.0000, 0.5000, 0.0000), Ag at (0.0000, 0.0000, 0.5000) and S at (0.5000, 0.5000, 0.5000).

As for the raw formation energy: 28.4 kcal/mol of atoms. Its theoretical density is 4932 kg/m3.

(11)
Material: FeSO4
Method: DFT, SCAN
State: single point on PBEsol structure

It has space group Cmcm (No. 63), with a = 5.3807 Å, b = 8.0075 Å, c = 6.1378 Å, α = 90.00°, β = 90.00° and γ = 90.00°. The asymmetric unit holds Fe at (0.0000, 0.0000, 0.0000), S at (0.0000, 0.3502, 0.2500), O at (0.0000, 0.2487, 0.0506) and O at (0.2263, 0.4611, 0.2500).

As for the raw formation energy: -36.0 kcal/mol of atoms. Its theoretical density is 3815 kg/m3.

(12)
Material: CsRbMn2B
Method: DFT, SCAN
State: single point on PBEsol structure

It has space group P4/mmm (No. 123), with a = 5.7014 Å, b = 5.7014 Å, c = 6.5018 Å, α = 90.00°, β = 90.00° and γ = 90.00°. The asymmetric unit holds Cs at (0.0000, 0.0000, 0.0000), Rb at (0.0000, 0.0000, 0.5000), Mn at (0.0000, 0.5000, 0.0000) and B at (0.5000, 0.5000, 0.5000).

Its energy relative to the elements is 2353 meV/atom. Its theoretical density is 2664 kg/m3.

(13)
Material: ZnTe2Au
Method: DFT, SCAN
State: single point on PBEsol structure

It has space group Imm2 (No. 44), with a = 4.4106 Å, b = 6.7584 Å, c = 7.5597 Å, α = 90.00°, β = 90.00° and γ = 90.00°. The asymmetric unit holds Zn at (0.0000, 0.0000, 0.0000), Te at (0.0000, 0.0000, 0.6228), Te at (0.0000, 0.5000, 0.6947) and Au at (0.0000, 0.5000, 0.3234).

As for the raw formation energy: -1.3 kcal/mol of atoms. Its theoretical density is 7628 kg/m3.

(14)
Material: AlCu3Te
Method: DFT, SCAN
State: single point on PBEsol structure

It has space group Pm-3m (No. 221), with a = 4.5067 Å, b = 4.5067 Å, c = 4.5067 Å, α = 90.00°, β = 90.00° and γ = 90.00°. The asymmetric unit holds Al at (0.0000, 0.0000, 0.0000), Cu at (0.0000, 0.0000, 0.5000) and Te at (0.5000, 0.5000, 0.5000).

As for the raw formation energy: 15.6 kcal/mol of atoms. Its theoretical density is 6263 kg/m3.

(15)
Material: Li3In2P3O12
Method: DFT, SCAN
State: single point on PBEsol structure

It has space group R-3 (No. 148, hexagonal axes), with a = 8.5485 Å, b = 8.5485 Å, c = 23.2588 Å, α = 90.00°, β = 90.00° and γ = 120.00°. The asymmetric unit holds Li at (0.0191, 0.3779, 0.2133), In at (0.0000, 0.0000, 0.1543), In at (0.0000, 0.0000, 0.3541), P at (0.0009, 0.7032, 0.2490), O at (0.0064, 0.7991, 0.3039), O at (0.0659, 0.8397, 0.5876), O at (0.0777, 0.5679, 0.8649) and O at (0.0934, 0.5639, 0.5633).

As for the raw formation energy: -55.7 kcal/mol of atoms. Its theoretical density is 3624 kg/m3.

(16)
Material: KRh
Method: DFT, SCAN
State: single point on PBEsol structure

It has space group C2/m (No. 12), with a = 12.1663 Å, b = 2.8052 Å, c = 5.9438 Å, α = 90.00°, β = 111.66° and γ = 90.00°. The asymmetric unit holds K at (0.1009, 0.0000, 0.2998) and Rh at (0.1728, 0.5000, 0.8556).

Its energy relative to the elements is 609 meV/atom. Its theoretical density is 5003 kg/m3.

(17)
Material: KBeSi2
Method: DFT, SCAN
State: single point on PBEsol structure

It has space group Pmmm (No. 47), with a = 2.7935 Å, b = 3.4913 Å, c = 7.2392 Å, α = 90.00°, β = 90.00° and γ = 90.00°. The asymmetric unit holds K at (0.0000, 0.0000, 0.0000), Be at (0.0000, 0.0000, 0.5000) and Si at (0.5000, 0.5000, 0.3368).

As for the raw formation energy: 7.8 kcal/mol of atoms. Its theoretical density is 2453 kg/m3.

(18)
Material: MnSb
Method: DFT, SCAN
State: single point on PBEsol structure

It has space group R-3m (No. 166, hexagonal axes), with a = 3.0800 Å, b = 3.0800 Å, c = 27.9021 Å, α = 90.00°, β = 90.00° and γ = 120.00°. The asymmetric unit holds Mn at (0.0000, 0.0000, 0.1442) and Sb at (0.0000, 0.0000, 0.3988).

As for the raw formation energy: 13.7 kcal/mol of atoms. Its theoretical density is 7680 kg/m3.

(19)
Material: SbTe2PbI
Method: DFT, SCAN
State: single point on PBEsol structure

It has space group P4/mmm (No. 123), with a = 5.7710 Å, b = 5.7710 Å, c = 5.7337 Å, α = 90.00°, β = 90.00° and γ = 90.00°. The asymmetric unit holds Sb at (0.0000, 0.0000, 0.0000), Te at (0.0000, 0.5000, 0.5000), Pb at (0.5000, 0.5000, 0.5000) and I at (0.5000, 0.5000, 0.0000).

As for the raw formation energy: 14.4 kcal/mol of atoms. Its theoretical density is 6183 kg/m3.

(20)
Material: TiBPb3
Method: DFT, SCAN
State: single point on PBEsol structure

It has space group Pm-3m (No. 221), with a = 4.9381 Å, b = 4.9381 Å, c = 4.9381 Å, α = 90.00°, β = 90.00° and γ = 90.00°. The asymmetric unit holds Ti at (0.0000, 0.0000, 0.0000), B at (0.5000, 0.5000, 0.5000) and Pb at (0.0000, 0.5000, 0.5000).

Its energy relative to the elements is 914 meV/atom. Its theoretical density is 9381 kg/m3.